Material: Cs2V2FeO7
Method: DFT, GGA+U
State: optimized geometry

abc: 6.015 6.015 7.822
angles: 67.39 67.39 60.00
Each line ends with the local moment (μB).
Fractional positions:
O 0.731 0.205 0.332  0.01
O 0.269 0.269 0.668  0.01
O 0.205 0.731 0.332  0.01
O 0.731 0.731 0.332  0.01
O 0.000 0.000 0.000  0.00
O 0.795 0.269 0.668  0.01
O 0.269 0.795 0.668  0.01
Fe 0.500 0.500 0.500  3.78
V 0.087 0.087 0.739  0.05
V 0.913 0.913 0.261  0.05
Cs 0.728 0.728 0.817  0.00
Cs 0.272 0.272 0.183  0.00

Properties
Magnetic moment (Bohr magnetons per cell): 4.000
Uncorrected energy (eV per atom): -6.63
Density of states at the Fermi level (states/eV/f.u.): 0.00